An optimized crystal structure of LiTeIrN2, computed with GGA-PBE.

Output
magnetization	0.307	μB per atom
relative energy among the computed polymorphs	1412	meV/atom
formation energy from raw total energies	1900	meV/atom
uncorrected energy	-4.214	eV per atom
space group	P4/mmm
Fermi-level density of states	2.99	states/eV per cell

```
data_LiTeIrN2
_chemical_formula_sum 'Li1 Te1 Ir1 N2'
_cell_length_a 3.767
_cell_length_b 3.767
_cell_length_c 5.098
_cell_angle_alpha 90.00
_cell_angle_beta 90.00
_cell_angle_gamma 90.00
_space_group_name_H-M_alt 'P 1'
_space_group_IT_number 1
loop_
_space_group_symop_operation_xyz
'x,y,z'
loop_
_atom_site_label
_atom_site_type_symbol
_atom_site_fract_x
_atom_site_fract_y
_atom_site_fract_z
Ir1 Ir 0.500 0.500 0.500
Te1 Te 0.000 0.000 0.500
Li1 Li 0.000 0.000 0.000
N1 N 0.000 0.500 0.000
N2 N 0.500 0.000 0.000
```